Entry 1:
Here is a crystal of Ca2MnP relaxed with PBEsol from Alexandria. Energies are from SCAN.

It has space group P4/mmm (No. 123), with a = 4.6877 Å, b = 4.6877 Å, c = 3.9241 Å, α = 90.00°, β = 90.00° and γ = 90.00°. Symmetry generates all atoms from Ca at (0.0000, 0.5000, 0.0000), Mn at (0.0000, 0.0000, 0.5000) and P at (0.5000, 0.5000, 0.5000).

The calculated formation energy is -1.55 eV per formula unit.

Entry 2:
Here is a crystal of LiSc4In relaxed with PBEsol from Alexandria. Energies are from SCAN.

It has space group F-43m (No. 216), with a = 8.2364 Å, b = 8.2364 Å, c = 8.2364 Å, α = 90.00°, β = 90.00° and γ = 90.00°. Symmetry generates all atoms from Li at (0.0000, 0.0000, 0.0000), Sc at (0.1238, 0.1238, 0.3762) and In at (0.2500, 0.2500, 0.7500).

The calculated formation energy is 1.09 eV per formula unit.